# Th2BTe GGA-PBE optimized geometry
# Size of the total moment: 0.00 μB per formula unit
# E: -6.876 eV/atom
# Formation energy (no corrections): -0.7116 eV/atom
data_Th2BTe
_chemical_formula_sum 'Th6 B3 Te3'
_cell_length_a 4.0660
_cell_length_b 4.0660
_cell_length_c 22.3646
_cell_angle_alpha 90.00
_cell_angle_beta 90.00
_cell_angle_gamma 120.00
_symmetry_space_group_name_H-M 'R -3 m'
_symmetry_Int_Tables_number 166
_symmetry_space_group_name_Hall '-R 3 2"'
loop_
_atom_site_label
_atom_site_type_symbol
_atom_site_fract_x
_atom_site_fract_y
_atom_site_fract_z
_atom_site_occupancy
Th1 Th 0.0000 0.0000 0.2311 1
B1 B 0.0000 0.0000 0.5000 1
Te1 Te 0.0000 0.0000 0.0000 1